Here is a relaxed structure of BeSbPb4 from the Alexandria database. Energies are from GGA-PBE.

Calculated values
crystal system	cubic
space group	F-43m, No. 216
calculated density	8.43	Mg/m³
formation energy without anion corrections	0.6966	eV/atom

abc: 6.4416 6.4416 6.4416
angles: 60.00 60.00 60.00
Fractional coordinates of all 6 atoms:
Be (0.0000, 0.0000, 0.0000)
Sb (0.2500, 0.2500, 0.2500)
Pb (0.1233, 0.6256, 0.6256)
Pb (0.6256, 0.1233, 0.6256)
Pb (0.6256, 0.6256, 0.1233)
Pb (0.6256, 0.6256, 0.6256)

Here is a relaxed structure of CsTl3Au from the Alexandria database. Energies are from GGA-PBE.

Calculated values
crystal system	tetragonal
space group	P4mm, No. 99
calculated density	8.96	Mg/m³
formation energy	-0.08	eV per atom
distance to the lowest polymorph of the same formula	0.018	eV/atom

abc: 5.0480 5.0480 6.8596
angles: 90.00 90.00 90.00
Fractional coordinates of all 5 atoms:
Cs (0.0000, 0.0000, 0.0000)
Tl (0.0000, 0.5000, 0.4633)
Tl (0.5000, 0.0000, 0.4633)
Tl (0.5000, 0.5000, 0.7815)
Au (0.5000, 0.5000, 0.2108)